# La3Dy3HoS8 | Alexandria via LeMat-Bulk | PBE | optimized geometry
data_La3Dy3HoS8
_chemical_formula_sum 'La9 Dy9 Ho3 S24'
_space_group_name_H-M_alt 'R -3 m'
_space_group_IT_number 166
_space_group_name_Hall '-R 3 2"'
_cell_length_a 7.9495
_cell_length_b 7.9495
_cell_length_c 20.0672
_cell_angle_alpha 90.00
_cell_angle_beta 90.00
_cell_angle_gamma 120.00
loop_
_atom_site_label
_atom_site_type_symbol
_atom_site_fract_x
_atom_site_fract_y
_atom_site_fract_z
_atom_site_occupancy
La1 La 0.0000 0.5000 0.0000 1
Dy1 Dy 0.0000 0.5000 0.5000 1
Ho1 Ho 0.0000 0.0000 0.5000 1
S1 S 0.0000 0.0000 0.2434 1
S2 S 0.0001 0.5000 0.2435 1
# theoretical density = 6.013 g cm⁻³
# total moment = 0.0 μB/f.u.
# energy relative to the elements, uncorrected = -2.11 eV per atom